[1]
Here is a relaxed structure of Ce3ScPa3Se8 from Alexandria. Energies are from GGA-PBE.

Cell: 8.267 8.267 8.267 Å, 58.98 58.98 58.98°
Fractional coordinates of all 15 atoms:
Ce  0.000  0.500  0.500
Ce  0.500  0.000  0.500
Ce  0.500  0.500  0.000
Sc  0.500  0.500  0.500
Pa  0.000  0.000  0.500
Pa  0.000  0.500  0.000
Pa  0.500  0.000  0.000
Se  0.248  0.248  0.248
Se  0.249  0.745  0.745
Se  0.255  0.255  0.751
Se  0.255  0.751  0.255
Se  0.745  0.249  0.745
Se  0.745  0.745  0.249
Se  0.751  0.255  0.255
Se  0.752  0.752  0.752

Summary:
formation energy from raw total energies	-1.561	eV per atom
symmetry	R-3m, No. 166

[2]
Here is a relaxed structure of CsIn2Se2 from Alexandria. Energies are from GGA-PBE.

Cell: 9.058 9.058 3.962 Å, 90.00 90.00 90.00°
Fractional coordinates of all 10 atoms:
Cs  0.000  0.000  0.000
Cs  0.500  0.500  0.000
In  0.127  0.373  0.500
In  0.373  0.873  0.500
In  0.627  0.127  0.500
In  0.873  0.627  0.500
Se  0.135  0.635  0.000
Se  0.365  0.135  0.000
Se  0.635  0.865  0.000
Se  0.865  0.365  0.000

Summary:
ΔE to the lowest computed polymorph	220	meV per atom
formation energy from raw total energies	-0.406	eV per atom
symmetry	P4/mbm, No. 127

[3]
Here is a relaxed structure of Pm3Hg3RuO8 from Alexandria. Energies are from GGA-PBE.

Cell: 7.779 7.779 7.779 Å, 53.22 53.22 53.22°
Fractional coordinates of all 15 atoms:
Pm  0.000  0.500  0.500
Pm  0.500  0.000  0.500
Pm  0.500  0.500  0.000
Hg  0.000  0.000  0.500
Hg  0.000  0.500  0.000
Hg  0.500  0.000  0.000
Ru  0.000  0.000  0.000
O  0.194  0.194  0.772
O  0.194  0.772  0.194
O  0.228  0.806  0.806
O  0.283  0.283  0.283
O  0.717  0.717  0.717
O  0.772  0.194  0.194
O  0.806  0.228  0.806
O  0.806  0.806  0.228

Summary:
formation energy from raw total energies	-1.719	eV per atom
symmetry	R-3m, No. 166

[4]
Here is a relaxed structure of PrBN2 from Alexandria. Energies are from GGA-PBE.

Cell: 5.008 5.008 7.551 Å, 90.00 90.00 120.00°
Fractional coordinates of all 12 atoms:
Pr  0.000  0.000  0.000
Pr  0.333  0.667  0.667
Pr  0.667  0.333  0.333
B  0.000  0.000  0.500
B  0.333  0.667  0.167
B  0.667  0.333  0.833
N  0.000  0.000  0.322
N  0.000  0.000  0.678
N  0.333  0.667  0.345
N  0.333  0.667  0.989
N  0.667  0.333  0.011
N  0.667  0.333  0.655

Summary:
ΔE to the lowest computed polymorph	427	meV per atom
formation energy from raw total energies	-0.888	eV per atom
symmetry	R-3m, No. 166

[5]
Here is a relaxed structure of PuCd2Hg5 from Alexandria. Energies are from GGA-PBE.

Cell: 8.555 8.555 8.555 Å, 124.33 124.33 82.65°
Fractional coordinates of all 16 atoms:
Pu  0.250  0.250  0.000
Pu  0.750  0.750  0.000
Cd  0.148  0.648  0.795
Cd  0.352  0.148  0.500
Cd  0.648  0.852  0.500
Cd  0.852  0.352  0.205
Hg  0.000  0.000  0.000
Hg  0.011  0.807  0.500
Hg  0.193  0.693  0.204
Hg  0.307  0.511  0.500
Hg  0.489  0.989  0.796
Hg  0.500  0.500  0.000
Hg  0.511  0.011  0.204
Hg  0.693  0.489  0.500
Hg  0.807  0.307  0.796
Hg  0.989  0.193  0.500

Summary:
ΔE to the lowest computed polymorph	41	meV per atom
energy relative to the elements	-0.013	eV/atom
symmetry	I4/mcm, No. 140

[6]
Here is a relaxed structure of NaSi3Pt2 from Alexandria. Energies are from GGA-PBE.

Cell: 8.299 8.299 10.465 Å, 110.81 110.81 26.81°
Fractional coordinates of all 18 atoms:
Na  0.000  0.000  0.000
Na  0.161  0.161  0.703
Na  0.839  0.839  0.297
Si  0.027  0.027  0.364
Si  0.217  0.217  0.378
Si  0.318  0.318  0.037
Si  0.379  0.379  0.810
Si  0.500  0.500  0.500
Si  0.621  0.621  0.190
Si  0.682  0.682  0.963
Si  0.783  0.783  0.622
Si  0.973  0.973  0.636
Pt  0.194  0.194  0.127
Pt  0.361  0.361  0.560
Pt  0.470  0.470  0.212
Pt  0.530  0.530  0.788
Pt  0.639  0.639  0.440
Pt  0.806  0.806  0.873

Summary:
formation energy from raw total energies	-0.439	eV per atom
symmetry	C2/m, No. 12

Number 1: total moment 4.23 μB per formula unit. Number 2: total moment 0.00 μB per formula unit. Number 3: total moment 1.40 μB per formula unit. Number 4: total moment 0.00 μB per formula unit. Number 5: total moment 6.06 μB per formula unit. Number 6: total moment 0.00 μB per formula unit.